Material: ScCdNiGe
Method: DFT, PBE-GGA
State: optimized geometry

a b c (Å): 6.4675 6.4675 6.4675
angles (deg): 90.00 90.00 90.00
Atoms (fractional coordinates):
1 Sc 0.0000 0.0000 0.0000
2 Sc 0.0000 0.5000 0.5000
3 Sc 0.5000 0.0000 0.5000
4 Sc 0.5000 0.5000 0.0000
5 Cd 0.2500 0.2500 0.7500
6 Cd 0.2500 0.7500 0.2500
7 Cd 0.7500 0.2500 0.2500
8 Cd 0.7500 0.7500 0.7500
9 Ni 0.0000 0.0000 0.5000
10 Ni 0.0000 0.5000 0.0000
11 Ni 0.5000 0.0000 0.0000
12 Ni 0.5000 0.5000 0.5000
13 Ge 0.2500 0.2500 0.2500
14 Ge 0.2500 0.7500 0.7500
15 Ge 0.7500 0.2500 0.7500
16 Ge 0.7500 0.7500 0.2500

Properties
total energy = -4.586 eV/atom
space-group type = F-43m (216)